No. 1
Below is crystalline KAs4Pb at its relaxed geometry, with properties calculated at the PBE level.

```
6
Lattice="0.0000 4.1751 4.1751 4.1751 0.0000 4.1751 4.1751 4.1751 0.0000" Properties=species:S:1:pos:R:3 pbc="T T T"
K 0.0000 0.0000 0.0000
As 3.1981 3.1981 3.1981
As 5.1521 5.1521 3.1981
As 5.1521 3.1981 5.1521
As 3.1981 5.1521 5.1521
Pb 6.2627 6.2627 6.2627
```

Output
- Formation enthalpy at 0 K: 4.46 kJ/mol of atoms
- Space group: No. 216

No. 2
Below is crystalline LaPuGaCu at its relaxed geometry, with properties calculated at the PBE level.

```
4
Lattice="0.0000 3.6354 3.6354 3.6354 0.0000 3.6354 3.6354 3.6354 0.0000" Properties=species:S:1:pos:R:3 pbc="T T T"
La 0.0000 0.0000 0.0000
Pu 3.6354 3.6354 3.6354
Ga 1.8177 1.8177 1.8177
Cu 5.4530 5.4530 5.4530
```

Output
- Formation enthalpy at 0 K: -16.23 kJ/mol of atoms
- Space group: No. 216

No. 3
Below is crystalline GePd3Au at its relaxed geometry, with properties calculated at the PBE level.

```
20
Lattice="9.1178 0.0000 0.0000 0.0000 3.0038 0.0000 0.0000 0.0000 11.7928" Properties=species:S:1:pos:R:3 pbc="T T T"
Ge 0.7774 0.7509 1.7721
Ge 3.7815 2.2528 7.6684
Ge 5.3363 0.7509 4.1243
Ge 8.3404 2.2528 10.0207
Pd 0.9507 2.2528 3.7838
Pd 1.0409 0.7509 11.0652
Pd 1.4469 2.2528 8.5786
Pd 3.1120 0.7509 2.6822
Pd 3.5180 2.2528 5.1688
Pd 3.6082 0.7509 9.6802
Pd 5.5096 2.2528 2.1126
Pd 5.5998 0.7509 6.6239
Pd 6.0058 2.2528 9.1105
Pd 7.6709 0.7509 3.2142
Pd 8.0769 2.2528 0.7275
Pd 8.1671 0.7509 8.0090
Au 1.2669 0.7509 6.1749
Au 3.2920 2.2528 0.2785
Au 5.8258 0.7509 11.5142
Au 7.8509 2.2528 5.6178
```

Output
- Formation enthalpy at 0 K: -28.26 kJ/mol of atoms
- Space group: No. 62

No. 4
Below is crystalline Li12In3Rh at its relaxed geometry, with properties calculated at the PBE level.

```
16
Lattice="4.7201 0.0000 0.0000 0.0000 4.7201 0.0000 0.0000 0.0000 12.4037" Properties=species:S:1:pos:R:3 pbc="T T T"
Li 0.0000 0.0000 0.0000
Li 0.0000 0.0000 2.9568
Li 0.0000 0.0000 6.2018
Li 0.0000 0.0000 9.4468
Li 0.0000 2.3600 1.3272
Li 0.0000 2.3600 4.5746
Li 0.0000 2.3600 7.8291
Li 0.0000 2.3600 11.0765
Li 2.3600 0.0000 1.3272
Li 2.3600 0.0000 4.5746
Li 2.3600 0.0000 7.8291
Li 2.3600 0.0000 11.0765
In 2.3600 2.3600 2.8404
In 2.3600 2.3600 6.2018
In 2.3600 2.3600 9.5632
Rh 2.3600 2.3600 0.0000
```

Output
- Formation enthalpy at 0 K: -17.58 kJ/mol of atoms
- Space group: No. 123

No. 5
Below is crystalline ScTe2RhN at its relaxed geometry, with properties calculated at the PBE level.

```
5
Lattice="5.5767 0.0000 0.0000 0.0000 5.5767 0.0000 0.0000 0.0000 3.7868" Properties=species:S:1:pos:R:3 pbc="T T T"
Sc 0.0000 0.0000 0.0000
Te 0.0000 2.7883 0.0000
Te 2.7883 0.0000 0.0000
Rh 2.7883 2.7883 1.8934
N 0.0000 0.0000 1.8934
```

Output
- Formation energy without anion corrections: 0.53 eV per atom
- Space group: No. 123

No. 6
Below is crystalline Ba2CaZn at its relaxed geometry, with properties calculated at the PBE level.

```
8
Lattice="-5.1175 5.1175 3.5357 5.1175 -5.1175 3.5357 5.1175 5.1175 -3.5357" Properties=species:S:1:pos:R:3 pbc="T T T"
Ba 7.6763 1.7765 -0.8839
Ba 1.7765 2.5588 0.8839
Ba -2.5588 3.3410 2.6518
Ba 3.3410 2.5588 4.4197
Ca 5.1175 0.0000 1.7679
Ca 0.0000 0.0000 3.5357
Zn 0.0000 0.0000 0.0000
Zn 0.0000 5.1175 1.7679
```

Output
- Formation enthalpy at 0 K: 10.78 kJ/mol of atoms
- Space group: No. 122

No. 7
Below is crystalline YMg3O4 at its relaxed geometry, with properties calculated at the PBE level.

```
8
Lattice="4.5584 0.0000 0.0000 0.0000 4.5584 0.0000 0.0000 0.0000 4.5584" Properties=species:S:1:pos:R:3 pbc="T T T"
Y 0.0000 0.0000 0.0000
Mg 0.0000 2.2792 2.2792
Mg 2.2792 0.0000 2.2792
Mg 2.2792 2.2792 0.0000
O 0.0000 0.0000 2.2792
O 0.0000 2.2792 0.0000
O 2.2792 0.0000 0.0000
O 2.2792 2.2792 2.2792
```

Output
- Formation energy without anion corrections: -2.47 eV per atom
- Space group: No. 221

No. 8
Below is crystalline Rb2SrNiRh at its relaxed geometry, with properties calculated at the PBE level.

```
5
Lattice="7.1033 0.0000 0.0000 0.0000 7.1033 0.0000 0.0000 0.0000 4.9298" Properties=species:S:1:pos:R:3 pbc="T T T"
Rb 0.0000 3.5517 0.0000
Rb 3.5517 0.0000 0.0000
Sr 0.0000 0.0000 0.0000
Ni 0.0000 0.0000 2.4649
Rh 3.5517 3.5517 2.4649
```

Output
- Formation enthalpy at 0 K: 131.83 kJ/mol of atoms
- Space group: No. 123

No. 9
Below is crystalline CaRh at its relaxed geometry, with properties calculated at the PBE level.

```
4
Lattice="3.1959 0.0000 0.0000 0.0000 4.3960 0.0000 0.0000 0.0000 5.9096" Properties=species:S:1:pos:R:3 pbc="T T T"
Ca 0.7990 1.0990 1.0735
Ca 2.3969 3.2970 4.8362
Rh 0.7990 1.0990 3.7691
Rh 2.3969 3.2970 2.1405
```

Output
- Formation enthalpy at 0 K: -1.52 kJ/mol of atoms
- Space group: No. 59

No. 10
Below is crystalline CaMgInBr2 at its relaxed geometry, with properties calculated at the PBE level.

```
5
Lattice="5.4793 0.0000 0.0000 0.0000 5.4793 0.0000 0.0000 0.0000 6.8756" Properties=species:S:1:pos:R:3 pbc="T T T"
Ca 0.0000 0.0000 0.0000
Mg 2.7397 2.7397 3.4378
In 0.0000 0.0000 3.4378
Br 0.0000 2.7397 0.0000
Br 2.7397 0.0000 0.0000
```

Output
- Formation energy without anion corrections: -0.60 eV per atom
- Space group: No. 123

No. 11
Below is crystalline La2YTlC at its relaxed geometry, with properties calculated at the PBE level.

```
5
Lattice="5.2380 0.0000 0.0000 0.0000 5.2380 0.0000 0.0000 0.0000 4.9807" Properties=species:S:1:pos:R:3 pbc="T T T"
La 0.0000 2.6190 0.0000
La 2.6190 0.0000 0.0000
Y 0.0000 0.0000 2.4903
Tl 2.6190 2.6190 2.4903
C 0.0000 0.0000 0.0000
```

Output
- Formation enthalpy at 0 K: -32.14 kJ/mol of atoms
- Space group: No. 123

No. 12
Below is crystalline TbPm6Pr2Tm3 at its relaxed geometry, with properties calculated at the PBE level.

```
12
Lattice="3.1342 -5.4287 0.0000 3.1342 5.4287 0.0000 -2.0858 0.0000 11.7401" Properties=species:S:1:pos:R:3 pbc="T T T"
Tb 0.0000 0.0000 0.0000
Pm 1.0430 1.8038 2.9955
Pm -0.0035 0.0000 8.7436
Pm 1.0430 -1.8038 2.9955
Pm 3.1397 1.8038 8.7447
Pm 4.1861 0.0000 2.9966
Pm 3.1397 -1.8038 8.7447
Pr 3.1342 1.8107 0.0000
Pr 3.1342 -1.8107 0.0000
Tm 2.0913 3.6220 5.8701
Tm 2.0913 0.0000 5.8701
Tm 2.0913 -3.6220 5.8701
```

Output
- Formation enthalpy at 0 K: 1.79 kJ/mol of atoms
- Space group: No. 12